(1)
This record from Alexandria describes an optimized crystal structure of Pt5Rh3. The functional is PBE.

a b c (Å): 2.768 2.768 15.764
angles (deg): 90.00 90.00 90.00
Atoms (fractional coordinates):
Pt (0.000, 0.000, 0.247)
Pt (0.500, 0.500, 0.623)
Pt (0.500, 0.500, 0.377)
Pt (0.000, 0.000, 0.753)
Pt (0.000, 0.000, 0.000)
Rh (0.500, 0.500, 0.123)
Rh (0.500, 0.500, 0.877)
Rh (0.000, 0.000, 0.500)

N(E_F) = 16.4 states/eV per cell
Mass density = 17.66 g/cm³
Electronic total energy = -52.45 eV per cell
DFT formation energy = -0.023 eV per atom
Space group = P4/mmm (123)

***

(2)
This record from Alexandria describes an optimized crystal structure of PtRh. The functional is PBE.

a b c (Å): 2.742 5.343 6.629
angles (deg): 74.01 90.00 104.87
Atoms (fractional coordinates):
Pt (0.003, 0.006, 0.999)
Pt (0.386, 0.773, 0.721)
Pt (0.333, 0.665, 0.335)
Rh (0.665, 0.329, 0.664)
Rh (0.059, 0.118, 0.388)
Rh (0.721, 0.441, 0.059)

N(E_F) = 12.2 states/eV per cell
Mass density = 16.50 g/cm³
Electronic total energy = -39.93 eV per cell
DFT formation energy = 0.042 eV per atom
Space group = Cm (8)

***

(3)
This record from Alexandria describes an optimized crystal structure of PtRh3. The functional is PBE.

a b c (Å): 9.069 9.069 9.069
angles (deg): 17.40 17.40 17.40
Atoms (fractional coordinates):
Rh (0.248, 0.248, 0.248)
Rh (0.500, 0.500, 0.500)
Rh (0.752, 0.752, 0.752)
Pt (0.000, 0.000, 0.000)

N(E_F) = 5.2 states/eV per cell
Mass density = 14.38 g/cm³
Electronic total energy = -28.10 eV per cell
DFT formation energy = -0.001 eV per atom
Space group = R-3m (166)

***

(4)
This record from Alexandria describes an optimized crystal structure of Pt3Rh4. The functional is PBE.

a b c (Å): 2.755 3.891 10.694
angles (deg): 100.48 112.73 90.00
Atoms (fractional coordinates):
Pt (0.993, 0.998, 0.995)
Pt (0.716, 0.572, 0.144)
Pt (0.148, 0.716, 0.432)
Rh (0.433, 0.144, 0.289)
Rh (0.864, 0.288, 0.575)
Rh (0.571, 0.857, 0.714)
Rh (0.276, 0.425, 0.851)

N(E_F) = 11.0 states/eV per cell
Mass density = 15.97 g/cm³
Electronic total energy = -47.67 eV per cell
DFT formation energy = -0.021 eV per atom
Space group = Imm2 (44)
Energy relative to the lowest polymorph listed for this composition = 0.000 eV per formula unit

***

(5)
This record from Alexandria describes an optimized crystal structure of PtRh5. The functional is PBE.

a b c (Å): 4.742 4.742 4.460
angles (deg): 90.00 90.00 120.00
Atoms (fractional coordinates):
Pt (0.667, 0.667, 0.500)
Rh (0.002, 0.002, 0.000)
Rh (0.667, 0.331, 0.000)
Rh (0.331, 0.667, 0.000)
Rh (0.333, 0.000, 0.500)
Rh (0.000, 0.333, 0.500)

N(E_F) = 10.1 states/eV per cell
Mass density = 13.57 g/cm³
Electronic total energy = -42.56 eV per cell
DFT formation energy = 0.039 eV per atom
Space group = P-62m (189)
Energy relative to the lowest polymorph listed for this composition = 0.310 eV per formula unit

***

(6)
This record from Alexandria describes an optimized crystal structure of PtRh. The functional is PBE.

a b c (Å): 3.661 3.661 3.661
angles (deg): 60.00 60.00 60.00
Atoms (fractional coordinates):
Pt (0.000, 0.000, 0.000)
Rh (0.500, 0.500, 0.500)

N(E_F) = 3.7 states/eV per cell
Mass density = 14.26 g/cm³
Electronic total energy = -12.15 eV per cell
DFT formation energy = 0.620 eV per atom
Space group = Fm-3m (225)

***

(7)
This record from Alexandria describes an optimized crystal structure of PtRh3. The functional is PBE.

a b c (Å): 2.742 4.489 4.749
angles (deg): 90.00 90.00 90.00
Atoms (fractional coordinates):
Rh (0.000, 0.000, 0.998)
Rh (0.500, 0.000, 0.503)
Rh (0.500, 0.500, 0.834)
Pt (0.000, 0.500, 0.332)

N(E_F) = 7.7 states/eV per cell
Mass density = 14.31 g/cm³
Electronic total energy = -27.90 eV per cell
DFT formation energy = 0.048 eV per atom
Space group = Pmm2 (25)

***

(8)
This record from Alexandria describes an optimized crystal structure of Pt3Rh13. The functional is PBE.

a b c (Å): 5.481 5.481 7.703
angles (deg): 90.00 90.00 90.00
Atoms (fractional coordinates):
Pt (0.001, 0.999, 0.748)
Pt (0.748, 0.252, 0.000)
Pt (0.001, 0.999, 0.252)
Rh (0.001, 0.501, 0.748)
Rh (0.499, 0.501, 0.748)
Rh (0.499, 0.999, 0.748)
Rh (0.252, 0.253, 0.000)
Rh (0.747, 0.748, 0.000)
Rh (0.252, 0.748, 0.000)
Rh (0.001, 0.501, 0.252)
Rh (0.499, 0.501, 0.252)
Rh (0.499, 0.999, 0.252)
Rh (0.748, 0.252, 0.500)
Rh (0.253, 0.252, 0.500)
Rh (0.748, 0.747, 0.500)
Rh (0.253, 0.747, 0.500)

N(E_F) = 25.9 states/eV per cell
Mass density = 13.80 g/cm³
Electronic total energy = -113.72 eV per cell
DFT formation energy = -0.002 eV per atom
Space group = Amm2 (38)